(1)
ScTe5 at its PBEsol-relaxed geometry. Source: the Alexandria database, functional meta-GGA SCAN.

Cell: 3.755 5.816 8.439 Å, 99.29 90.00 108.83°
Fractional coordinates of all 6 atoms:
1 Sc 0.965 0.930 0.952
2 Te 0.672 0.343 0.329
3 Te 0.350 0.700 0.694
4 Te 0.422 0.845 0.214
5 Te 0.081 0.161 0.652
6 Te 0.677 0.355 0.992

Calculated values
SG	No. 8
magnetic moment	0.00	μB/cell
uncorrected energy	-33.88	eV/atom
energy relative to the elements, uncorrected	-0.46	eV per atom

---

(2)
Sc9Te2 at its PBEsol-relaxed geometry. Source: the Alexandria database, functional meta-GGA SCAN.

Cell: 7.664 8.576 17.163 Å, 90.00 90.00 116.54°
Site moments in Bohr magnetons follow the coordinates.
Fractional coordinates of all 44 atoms:
1 Sc 0.207 0.855 0.869  0.07
2 Sc 0.648 0.855 0.869  0.07
3 Sc 0.793 0.145 0.369  0.07
4 Sc 0.352 0.145 0.369  0.07
5 Sc 0.957 0.353 0.640  -0.08
6 Sc 0.396 0.353 0.640  -0.08
7 Sc 0.043 0.647 0.140  -0.08
8 Sc 0.604 0.647 0.140  -0.08
9 Sc 0.266 0.532 0.794  0.06
10 Sc 0.734 0.468 0.294  0.06
11 Sc 0.422 0.845 0.432  0.06
12 Sc 0.578 0.155 0.932  0.06
13 Sc 0.388 0.776 0.023  0.03
14 Sc 0.612 0.224 0.523  0.03
15 Sc 0.206 0.980 0.561  0.04
16 Sc 0.774 0.980 0.561  0.04
17 Sc 0.794 0.020 0.061  0.04
18 Sc 0.226 0.020 0.061  0.04
19 Sc 0.016 0.031 0.717  -0.03
20 Sc 0.984 0.969 0.217  -0.03
21 Sc 0.069 0.138 0.925  0.11
22 Sc 0.931 0.862 0.425  0.11
23 Sc 0.525 0.051 0.703  0.00
24 Sc 0.475 0.949 0.203  0.00
25 Sc 0.862 0.724 0.984  0.01
26 Sc 0.138 0.276 0.484  0.01
27 Sc 0.978 0.521 0.449  0.12
28 Sc 0.543 0.521 0.449  0.12
29 Sc 0.022 0.479 0.949  0.12
30 Sc 0.457 0.479 0.949  0.12
31 Sc 0.775 0.551 0.806  -0.01
32 Sc 0.225 0.449 0.306  -0.01
33 Sc 0.327 0.654 0.579  0.04
34 Sc 0.673 0.346 0.079  0.04
35 Sc 0.819 0.638 0.585  0.08
36 Sc 0.181 0.362 0.085  0.08
37 Te 0.122 0.741 0.704  0.00
38 Te 0.619 0.741 0.704  0.00
39 Te 0.878 0.259 0.204  0.00
40 Te 0.381 0.259 0.204  0.00
41 Te 0.867 0.242 0.806  0.00
42 Te 0.374 0.242 0.806  0.00
43 Te 0.133 0.758 0.306  0.00
44 Te 0.626 0.758 0.306  0.00

Calculated values
SG	No. 36
magnetic moment	2.07	μB/cell
uncorrected energy	-18.91	eV/atom
energy relative to the elements, uncorrected	-0.49	eV per atom

---

(3)
Sc2Te3 at its PBEsol-relaxed geometry. Source: the Alexandria database, functional meta-GGA SCAN.

Cell: 7.030 7.032 13.577 Å, 94.83 95.01 120.01°
Fractional coordinates of all 20 atoms:
1 Sc 0.000 0.000 0.000
2 Sc 0.673 0.337 0.000
3 Sc 0.327 0.663 0.000
4 Sc 0.082 0.749 0.245
5 Sc 0.168 0.835 0.505
6 Sc 0.832 0.165 0.495
7 Sc 0.918 0.251 0.755
8 Sc 0.500 0.500 0.500
9 Te 0.128 0.124 0.372
10 Te 0.296 0.291 0.873
11 Te 0.790 0.461 0.372
12 Te 0.957 0.630 0.870
13 Te 0.454 0.788 0.372
14 Te 0.619 0.953 0.873
15 Te 0.381 0.047 0.127
16 Te 0.546 0.212 0.628
17 Te 0.043 0.370 0.130
18 Te 0.210 0.539 0.628
19 Te 0.704 0.709 0.127
20 Te 0.872 0.876 0.628

Calculated values
SG	No. 2
magnetic moment	0.00	μB/cell
uncorrected energy	-29.40	eV/atom
energy relative to the elements, uncorrected	-1.36	eV per atom

---

(4)
ScTe2 at its PBEsol-relaxed geometry. Source: the Alexandria database, functional meta-GGA SCAN.

Cell: 3.882 5.922 7.631 Å, 112.83 104.73 90.00°
Fractional coordinates of all 6 atoms:
1 Sc 0.367 0.367 0.734
2 Sc 0.633 0.633 0.266
3 Te 0.000 0.749 0.000
4 Te 0.710 0.210 0.420
5 Te 0.000 0.251 0.000
6 Te 0.290 0.790 0.580

Calculated values
SG	No. 71
magnetic moment	0.00	μB/cell
uncorrected energy	-30.65	eV/atom
energy relative to the elements, uncorrected	-1.07	eV per atom

---

(5)
Sc2Te3 at its PBEsol-relaxed geometry. Source: the Alexandria database, functional meta-GGA SCAN.

Cell: 7.072 7.482 7.482 Å, 63.08 73.17 106.83°
Fractional coordinates of all 10 atoms:
1 Sc 0.596 0.998 0.240
2 Sc 0.404 0.164 0.598
3 Sc 0.904 0.652 0.086
4 Sc 0.096 0.010 0.252
5 Te 0.848 0.203 0.404
6 Te 0.152 0.749 0.645
7 Te 0.652 0.605 0.501
8 Te 0.348 0.846 0.047
9 Te 0.500 0.387 0.113
10 Te 0.000 0.137 0.863

Calculated values
SG	No. 43
magnetic moment	0.00	μB/cell
uncorrected energy	-29.31	eV/atom
energy relative to the elements, uncorrected	-1.27	eV per atom

---

(6)
Sc2Te3 at its PBEsol-relaxed geometry. Source: the Alexandria database, functional meta-GGA SCAN.

Cell: 7.050 7.050 12.829 Å, 100.55 100.55 109.50°
Fractional coordinates of all 20 atoms:
1 Sc 0.332 0.832 0.664
2 Sc 0.168 0.668 0.336
3 Sc 0.918 0.918 0.836
4 Sc 0.082 0.082 0.164
5 Sc 0.001 0.501 0.002
6 Sc 0.499 0.999 0.998
7 Sc 0.249 0.249 0.498
8 Sc 0.751 0.751 0.502
9 Te 0.992 0.492 0.500
10 Te 0.508 0.008 0.500
11 Te 0.258 0.258 0.000
12 Te 0.742 0.742 0.000
13 Te 0.667 0.170 0.832
14 Te 0.339 0.835 0.168
15 Te 0.830 0.333 0.168
16 Te 0.165 0.661 0.832
17 Te 0.583 0.580 0.668
18 Te 0.911 0.915 0.332
19 Te 0.420 0.417 0.332
20 Te 0.085 0.089 0.668

Calculated values
SG	No. 70
magnetic moment	0.00	μB/cell
uncorrected energy	-29.40	eV/atom
energy relative to the elements, uncorrected	-1.35	eV per atom